Entry 1:
An optimized crystal structure of MgPbBr2, computed with PBE.

Values from the calculation:
**Energy relative to the elements, uncorrected**: -0.21 eV per atom
**Crystal system**: cubic
**ρ**: 5.62 g cm⁻³
**Symmetry**: No. 216

Structure (extended XYZ):
```
16
Lattice="7.736 0.000 0.000 0.000 7.736 0.000 0.000 0.000 7.736" Properties=species:S:1:pos:R:3 pbc="T T T"
Mg 0.000 0.000 0.000
Mg 0.000 3.868 3.868
Mg 3.868 0.000 3.868
Mg 3.868 3.868 0.000
Pb 1.934 1.934 1.934
Pb 1.934 5.802 5.802
Pb 5.802 1.934 5.802
Pb 5.802 5.802 1.934
Br 0.000 0.000 3.868
Br 0.000 3.868 0.000
Br 1.934 1.934 5.802
Br 1.934 5.802 1.934
Br 3.868 0.000 0.000
Br 3.868 3.868 3.868
Br 5.802 1.934 1.934
Br 5.802 5.802 5.802
```

Entry 2:
An optimized crystal structure of CeSnPdRh, computed with PBE.

Values from the calculation:
**Crystal system**: monoclinic
**ρ**: 9.43 g cm⁻³
**DFT formation energy**: -0.74 eV per atom
**Symmetry**: No. 8

Structure (extended XYZ):
```
8
Lattice="8.120 0.000 0.000 0.000 4.680 0.000 -2.710 0.000 4.338" Properties=species:S:1:pos:R:3 pbc="T T T"
Ce 0.000 0.000 0.000
Ce 4.060 2.340 0.000
Sn -1.354 2.340 2.307
Sn 2.705 0.000 2.307
Pd 1.353 2.340 1.394
Pd 5.412 0.000 1.394
Rh 0.000 0.000 2.764
Rh 4.060 2.340 2.764
```